Entry 1:
DFT (PBE-GGA) results for a relaxed CaCoP2Ru crystal.

a = 3.9137 Å, b = 3.9137 Å, c = 9.9304 Å
α = 90.00°, β = 90.00°, γ = 90.00°
Space group I-4m2 (No. 119)
Inequivalent atoms, fractional coordinates:
Ca: 0.0000 0.0000 0.0000 x2
Co: 0.0000 0.5000 0.2500 x2
P: 0.0000 0.0000 0.3719 x4
Ru: 0.0000 0.5000 0.7500 x2

Total DFT energy (no corrections) = -6.699 eV/atom
DOS(E_F) = 0.338 states/eV per atom

***

Entry 2:
DFT (PBE-GGA) results for a relaxed Cd2TcW crystal.

a = 3.2860 Å, b = 4.4371 Å, c = 9.6189 Å
α = 90.00°, β = 90.00°, γ = 90.00°
Space group Cmmm (No. 65)
Inequivalent atoms, fractional coordinates:
Cd: 0.0000 0.0000 0.2458 x4
Tc: 0.0000 0.5000 0.0000 x2
W: 0.0000 0.5000 0.5000 x2

Total DFT energy (no corrections) = -5.680 eV/atom
Energy above the lowest structure with this stoichiometry = 347.9 meV per atom
DOS(E_F) = 0.714 states/eV per atom